# 1
Mn2Os2Au | PBE | optimized geometry Values from VASP.

```
&SYSTEM
  ibrav = 0, nat = 10, ntyp = 3
/
ATOMIC_SPECIES
Mn 54.94 Mn.upf
Os 190.23 Os.upf
Au 196.97 Au.upf
CELL_PARAMETERS angstrom
3.888 0.000 0.000
0.000 3.888 0.000
0.000 0.000 9.880
ATOMIC_POSITIONS crystal
Mn 0.000 0.000 0.106
Mn 0.000 0.000 0.894
Mn 0.500 0.500 0.394
Mn 0.500 0.500 0.606
Os 0.000 0.500 0.250
Os 0.000 0.500 0.750
Os 0.500 0.000 0.250
Os 0.500 0.000 0.750
Au 0.000 0.000 0.500
Au 0.500 0.500 0.000
```

**Energy**: -0.3070 hartree per atom
**Energy above the lowest structure with this stoichiometry**: 177.7 meV per atom

# 2
Mn2OsAu | PBE | optimized geometry Values from VASP.

```
&SYSTEM
  ibrav = 0, nat = 12, ntyp = 3
/
ATOMIC_SPECIES
Mn 54.94 Mn.upf
Os 190.23 Os.upf
Au 196.97 Au.upf
CELL_PARAMETERS angstrom
2.835 0.000 0.000
-1.418 2.455 0.000
0.000 0.000 25.917
ATOMIC_POSITIONS crystal
Mn 0.000 0.000 0.246
Mn 0.000 0.000 0.754
Mn 0.333 0.667 0.421
Mn 0.333 0.667 0.913
Mn 0.667 0.333 0.087
Mn 0.667 0.333 0.579
Os 0.000 0.000 0.500
Os 0.333 0.667 0.167
Os 0.667 0.333 0.833
Au 0.000 0.000 0.000
Au 0.333 0.667 0.667
Au 0.667 0.333 0.333
```

**Energy**: -0.2936 hartree per atom

# 3
Mn4OsAu | PBE | optimized geometry Values from VASP.

```
&SYSTEM
  ibrav = 0, nat = 6, ntyp = 3
/
ATOMIC_SPECIES
Mn 54.94 Mn.upf
Os 190.23 Os.upf
Au 196.97 Au.upf
CELL_PARAMETERS angstrom
0.000 3.360 3.360
3.360 0.000 3.360
3.360 3.360 0.000
ATOMIC_POSITIONS crystal
Mn 0.125 0.125 0.125
Mn 0.125 0.125 0.624
Mn 0.125 0.624 0.125
Mn 0.624 0.125 0.125
Os 0.750 0.750 0.750
Au 0.500 0.500 0.500
```

**Energy**: -0.3049 hartree per atom

# 4
MnOsAu | PBE | optimized geometry Values from VASP.

```
&SYSTEM
  ibrav = 0, nat = 6, ntyp = 3
/
ATOMIC_SPECIES
Mn 54.94 Mn.upf
Os 190.23 Os.upf
Au 196.97 Au.upf
CELL_PARAMETERS angstrom
2.761 0.000 0.000
0.000 2.761 0.000
0.000 0.000 11.479
ATOMIC_POSITIONS crystal
Mn 0.000 0.000 0.000
Mn 0.500 0.500 0.500
Os 0.000 0.000 0.371
Os 0.500 0.500 0.871
Au 0.000 0.000 0.678
Au 0.500 0.500 0.178
```

**Energy**: -0.2800 hartree per atom
**Energy above the lowest structure with this stoichiometry**: 0.0 meV per atom

# 5
Mn2Os2Au | PBE | optimized geometry Values from VASP.

```
&SYSTEM
  ibrav = 0, nat = 10, ntyp = 3
/
ATOMIC_SPECIES
Mn 54.94 Mn.upf
Os 190.23 Os.upf
Au 196.97 Au.upf
CELL_PARAMETERS angstrom
7.236 0.000 0.000
0.000 7.236 0.000
0.000 0.000 2.675
ATOMIC_POSITIONS crystal
Mn 0.123 0.377 0.000
Mn 0.377 0.877 0.000
Mn 0.623 0.123 0.000
Mn 0.877 0.623 0.000
Os 0.162 0.662 0.500
Os 0.338 0.162 0.500
Os 0.662 0.838 0.500
Os 0.838 0.338 0.500
Au 0.000 0.000 0.000
Au 0.500 0.500 0.000
```

**Energy**: -0.3135 hartree per atom
**Energy above the lowest structure with this stoichiometry**: 1.8 meV per atom

# 6
Mn3OsAu | PBE | optimized geometry Values from VASP.

```
&SYSTEM
  ibrav = 0, nat = 5, ntyp = 3
/
ATOMIC_SPECIES
Mn 54.94 Mn.upf
Os 190.23 Os.upf
Au 196.97 Au.upf
CELL_PARAMETERS angstrom
4.699 0.000 0.000
0.000 4.699 0.000
0.000 0.000 4.699
ATOMIC_POSITIONS crystal
Mn 0.000 0.000 0.500
Mn 0.000 0.500 0.000
Mn 0.500 0.000 0.000
Os 0.000 0.000 0.000
Au 0.500 0.500 0.500
```

**Energy**: -0.2655 hartree per atom
**Energy above the lowest structure with this stoichiometry**: 0.0 meV per atom

# 7
Mn2OsAu | PBE | optimized geometry Values from VASP.

```
&SYSTEM
  ibrav = 0, nat = 16, ntyp = 3
/
ATOMIC_SPECIES
Mn 54.94 Mn.upf
Os 190.23 Os.upf
Au 196.97 Au.upf
CELL_PARAMETERS angstrom
6.911 0.000 0.000
0.000 6.911 0.000
0.000 0.000 5.441
ATOMIC_POSITIONS crystal
Mn 0.228 0.750 0.125
Mn 0.250 0.228 0.875
Mn 0.250 0.272 0.375
Mn 0.272 0.750 0.625
Mn 0.728 0.250 0.625
Mn 0.750 0.728 0.375
Mn 0.750 0.772 0.875
Mn 0.772 0.250 0.125
Os 0.000 0.000 0.000
Os 0.000 0.500 0.250
Os 0.500 0.000 0.750
Os 0.500 0.500 0.500
Au 0.000 0.000 0.500
Au 0.000 0.500 0.750
Au 0.500 0.000 0.250
Au 0.500 0.500 0.000
```

**Energy**: -0.2753 hartree per atom

# 8
MnOsAu4 | PBE | optimized geometry Values from VASP.

```
&SYSTEM
  ibrav = 0, nat = 6, ntyp = 3
/
ATOMIC_SPECIES
Mn 54.94 Mn.upf
Os 190.23 Os.upf
Au 196.97 Au.upf
CELL_PARAMETERS angstrom
0.000 3.800 3.800
3.800 0.000 3.800
3.800 3.800 0.000
ATOMIC_POSITIONS crystal
Mn 0.000 0.000 0.000
Os 0.750 0.750 0.750
Au 0.375 0.375 0.375
Au 0.375 0.375 0.875
Au 0.375 0.875 0.375
Au 0.875 0.375 0.375
```

**Energy**: -0.1778 hartree per atom

Question: Which value of energy does entry 4 give?
Answer: -0.2800 hartree per atom